Material: Ac4Ga5Ni2
Method: DFT, PBE
State: optimized geometry

Summary:
- Total magnetic moment: 0.0 μB/cell
- Fermi-level density of states: 7.43 states/eV/cell
- VASP energy: -4.299 eV/atom
- Space group: P2/m (10)

a = 4.1096 Å, b = 7.2702 Å, c = 9.5157 Å
α = 95.26°, β = 90.00°, γ = 90.00°
With the nearest neighbours (Å) after each atom.
Element x y z (fractional)
Ga 0.0000 0.4360 0.6977  1 Ni 2.61, 2 Ga 2.80-2.87
Ga 0.0000 0.2117 0.1564  2 Ga 2.68-2.80
Ga 0.0000 0.7883 0.8436  2 Ga 2.68-2.80
Ga 0.0000 0.5000 0.0000  4 Ga 2.68-2.87
Ga 0.0000 0.5640 0.3023  1 Ni 2.61, 2 Ga 2.80-2.87
Ac 0.5000 0.8265 0.1350  2 Ni 3.09, 6 Ga 3.31-3.44
Ac 0.5000 0.1735 0.8650  2 Ni 3.09, 6 Ga 3.31-3.44
Ac 0.5000 0.7530 0.5669  4 Ni 3.08-3.16, 6 Ga 3.33-3.44
Ac 0.5000 0.2470 0.4331  4 Ni 3.08-3.16, 6 Ga 3.33-3.44
Ni 0.0000 0.0803 0.6263  1 Ni 2.57, 1 Ga 2.61
Ni 0.0000 0.9197 0.3737  1 Ni 2.57, 1 Ga 2.61